(1)
VASP calculation (GGA-PBEsol) on a relaxed structure of CoCuO3.

## Properties
Magnetization, μB per formula unit: 3.91
Fermi-level density of states, states/eV/atom: 1.23
Formation energy from raw total energies, eV/atom: 0.208
Total energy, eV/cell: -26.777

Lattice parameters (Å, degrees): 3.6616 3.6616 3.6616 90.00 90.00 90.00
Closest atoms and distances in Å follow each position.
Positions (direct):
O  0.0000  0.0000  0.5000  2 Cu 1.83
O  0.0000  0.5000  0.0000  2 Cu 1.83
O  0.5000  0.0000  0.0000  2 Cu 1.83
Cu  0.0000  0.0000  0.0000  6 O 1.83
Co  0.5000  0.5000  0.5000  12 O 2.59



(2)
VASP calculation (GGA-PBEsol) on a relaxed structure of Co5CuO8.

## Properties
Magnetization, μB per formula unit: 4.83
Fermi-level density of states, states/eV/atom: 0.66
Formation energy from raw total energies, eV/atom: -0.930
Total energy, eV/cell: -98.028

Lattice parameters (Å, degrees): 5.6443 5.6443 5.6951 60.29 60.29 60.00
Closest atoms and distances in Å follow each position.
Positions (direct):
O  0.7476  0.7476  0.2249  3 Co 1.86-1.90, 1 Cu 1.99
O  0.7389  0.7389  0.7834  4 Co 1.92-1.93
O  0.2524  0.7201  0.7751  3 Co 1.86-1.90, 1 Cu 1.99
O  0.2611  0.2611  0.2166  4 Co 1.92-1.93
O  0.7476  0.2799  0.2249  3 Co 1.86-1.90, 1 Cu 1.99
O  0.2524  0.2524  0.7751  3 Co 1.86-1.90, 1 Cu 1.99
O  0.7201  0.2524  0.7751  3 Co 1.86-1.90, 1 Cu 1.99
O  0.2799  0.7476  0.2249  3 Co 1.86-1.90, 1 Cu 1.99
Co  0.1236  0.1236  0.6293  4 O 1.86-1.93
Co  0.0000  0.5000  0.0000  6 O 1.90-1.92
Co  0.8764  0.8764  0.3707  4 O 1.86-1.93
Co  0.5000  0.5000  0.0000  6 O 1.90-1.92
Co  0.5000  0.0000  0.0000  6 O 1.90-1.92
Cu  0.5000  0.5000  0.5000  6 O 1.99



(3)
VASP calculation (GGA-PBEsol) on a relaxed structure of Co11CuO16.

## Properties
Magnetization, μB per formula unit: 10.85
Fermi-level density of states, states/eV/atom: 0.53
Formation energy from raw total energies, eV/atom: -0.976
Total energy, eV/cell: -200.758

Lattice parameters (Å, degrees): 5.6670 5.6440 7.9921 90.00 90.39 90.00
Closest atoms and distances in Å follow each position.
Positions (direct):
O  0.2617  0.7659  0.9857  3 Co 1.86-1.90, 1 Cu 1.99
O  0.5212  0.0000  0.2391  4 Co 1.90-1.91
O  0.0312  0.0000  0.7492  3 Co 1.86-1.90, 1 Cu 2.01
O  0.5213  0.5000  0.2624  4 Co 1.90
O  0.2617  0.2341  0.9857  3 Co 1.86-1.90, 1 Cu 1.99
O  0.9746  0.5000  0.2622  4 Co 1.90-1.91
O  0.4788  0.0000  0.7609  4 Co 1.90-1.91
O  0.7383  0.2341  0.0143  3 Co 1.86-1.90, 1 Cu 1.99
O  0.7493  0.7252  0.4884  4 Co 1.90-1.91
O  0.9688  0.0000  0.2508  3 Co 1.86-1.90, 1 Cu 2.01
O  0.7493  0.2748  0.4884  4 Co 1.90-1.91
O  0.2507  0.7252  0.5116  4 Co 1.90-1.91
O  0.0254  0.5000  0.7378  4 Co 1.90-1.91
O  0.7383  0.7659  0.0143  3 Co 1.86-1.90, 1 Cu 1.99
O  0.4787  0.5000  0.7376  4 Co 1.90
O  0.2507  0.2748  0.5116  4 Co 1.90-1.91
Co  0.7462  0.2510  0.2516  6 O 1.90-1.91
Co  0.2538  0.7490  0.7484  6 O 1.90-1.91
Co  0.7532  0.0000  0.6251  4 O 1.86-1.90
Co  0.2538  0.2510  0.7484  6 O 1.90-1.91
Co  0.7526  0.5000  0.8769  4 O 1.86-1.91
Co  0.2474  0.5000  0.1231  4 O 1.86-1.91
Co  0.5000  0.5000  0.5000  6 O 1.90
Co  0.7462  0.7490  0.2516  6 O 1.90-1.91
Co  0.2468  0.0000  0.3749  4 O 1.86-1.90
Co  0.0000  0.5000  0.5000  6 O 1.90-1.91
Co  0.5000  0.0000  0.0000  6 O 1.89-1.91
Cu  0.0000  0.0000  0.0000  6 O 1.99-2.01



(4)
VASP calculation (GGA-PBEsol) on a relaxed structure of CoCuP2O7.

## Properties
Magnetization, μB per formula unit: 4.01
Fermi-level density of states, states/eV/atom: 0.87
Formation energy from raw total energies, eV/atom: -1.607
Total energy, eV/cell: -78.080

Lattice parameters (Å, degrees): 4.5044 5.2323 5.2323 102.67 99.17 99.17
Closest atoms and distances in Å follow each position.
Positions (direct):
O  0.0000  0.3366  0.6634  2 P 1.59
O  0.2995  0.0097  0.5082  1 P 1.55
O  0.7852  0.0289  0.2134  1 P 1.54
O  0.7468  0.7385  0.6229  1 P 1.51
O  0.2532  0.3771  0.2615  1 P 1.51
O  0.7005  0.4918  0.9903  1 P 1.55
O  0.2148  0.7866  0.9711  1 P 1.54
Cu  0.5000  0.0995  0.9005  4 O 2.02-2.05
P  0.0921  0.1856  0.3971  4 O 1.51-1.59
P  0.9079  0.6029  0.8144  4 O 1.51-1.59
Co  0.5000  0.7231  0.2769  6 O 1.95-2.12



(5)
VASP calculation (GGA-PBEsol) on a relaxed structure of Sr2CoCu2O7.

## Properties
Magnetization, μB per formula unit: 2.84
Fermi-level density of states, states/eV/atom: 0.34
Formation energy from raw total energies, eV/atom: -1.280
Total energy, eV/cell: -144.378

Lattice parameters (Å, degrees): 5.1071 5.1017 12.5684 101.71 101.72 90.00
Closest atoms and distances in Å follow each position.
Positions (direct):
O  0.1321  0.1541  0.5000  2 Co 1.80-1.85
O  0.1589  0.6759  0.3620  1 Co 1.73
O  0.6321  0.8459  0.5000  2 Co 1.80-1.85
O  0.8033  0.3234  0.1475  2 Cu 1.85
O  0.7970  0.3241  0.6380  1 Co 1.73
O  0.6589  0.1860  0.3620  1 Co 1.73
O  0.8033  0.8241  0.1489  2 Cu 1.85
O  0.3033  0.3241  0.1475  2 Cu 1.85
O  0.2970  0.8140  0.6380  1 Co 1.73
O  0.6558  0.6766  0.8525  2 Cu 1.85
O  0.6544  0.1759  0.8511  2 Cu 1.85
O  0.1558  0.6759  0.8525  2 Cu 1.85
O  0.3033  0.8248  0.1489  2 Cu 1.85
O  0.1544  0.1752  0.8511  2 Cu 1.85
Sr  0.1239  0.1486  0.2918  9 O 2.49-2.72
Sr  0.6239  0.6432  0.2918  9 O 2.49-2.72
Sr  0.3321  0.3568  0.7082  9 O 2.49-2.72
Sr  0.8321  0.8514  0.7082  9 O 2.49-2.72
Co  0.2805  0.8232  0.5000  4 O 1.73-1.85
Co  0.7805  0.1768  0.5000  4 O 1.73-1.85
Cu  0.4218  0.9434  0.8854  4 O 1.85
Cu  0.9218  0.4421  0.8854  4 O 1.85
Cu  0.0363  0.5579  0.1146  4 O 1.85
Cu  0.5363  0.0566  0.1146  4 O 1.85



(6)
VASP calculation (GGA-PBEsol) on a relaxed structure of Co3Cu3Te2O16.

## Properties
Magnetization, μB per formula unit: 0.00
Fermi-level density of states, states/eV/atom: 0.64
Formation energy from raw total energies, eV/atom: -0.740
Total energy, eV/cell: -145.026

Lattice parameters (Å, degrees): 5.5889 5.7826 9.0545 93.17 90.01 118.90
Closest atoms and distances in Å follow each position.
Positions (direct):
O  0.5273  0.0550  0.6513  2 Cu 1.91, 1 Te 2.04
O  0.4909  0.5203  0.1643  1 Co 1.86, 1 Cu 1.98, 1 Te 2.04
O  0.8427  0.6850  0.3997  2 Co 1.91, 1 Te 2.01
O  0.9872  0.5239  0.6501  1 Co 1.84, 1 Te 1.96
O  0.3467  0.6932  0.3886  2 Co 1.81, 1 Cu 1.99
O  0.6614  0.8130  0.9114  1 Te 1.90, 1 Co 1.93
O  0.9850  0.9702  0.6963  1 Co 1.81, 2 Cu 1.86
O  0.1513  0.8130  0.9116  1 Te 1.90, 1 Co 1.93
O  0.9845  0.9688  0.1949  2 Co 1.82, 1 Cu 1.98
O  0.6790  0.3585  0.8761  1 Co 1.78, 2 Cu 1.87
O  0.5369  0.5240  0.6499  1 Co 1.84, 1 Te 1.96
O  0.1502  0.3007  0.9112  2 Cu 1.90, 1 Te 1.94
O  0.3254  0.1653  0.4034  1 Te 1.94, 1 Cu 1.95, 1 Co 1.95
O  0.0295  0.5202  0.1643  1 Co 1.86, 1 Cu 1.98, 1 Te 2.04
O  0.8402  0.1652  0.4035  1 Te 1.94, 1 Cu 1.95, 1 Co 1.95
O  0.4770  0.9538  0.1692  2 Co 1.89, 1 Te 2.03
Cu  0.3312  0.1611  0.7869  4 O 1.86-1.91
Cu  0.1668  0.3334  0.2866  6 O 1.95-1.99
Cu  0.8295  0.1610  0.7870  4 O 1.86-1.91
Te  0.3253  0.6507  0.0107  6 O 1.90-2.04
Te  0.6760  0.3518  0.5087  6 O 1.94-2.04
Co  0.1667  0.8268  0.2876  6 O 1.81-1.95
Co  0.8292  0.6585  0.7833  6 O 1.78-1.93
Co  0.6604  0.8268  0.2876  6 O 1.81-1.95